No. 1
Density functional theory data (GGA-PBE) for an optimized crystal structure of Rb3SiO4.

Cell: 5.9818 5.9818 5.9818 Å, 115.21 115.21 98.51°
With the nearest neighbours (Å) after each atom.
Sites, in units of the cell vectors:
Rb 0.0000 0.0000 0.0000  4 O 2.84
Rb 0.2500 0.7500 0.5000  8 O 3.05
Rb 0.7500 0.2500 0.5000  8 O 3.05
Si 0.5000 0.5000 0.0000  4 O 1.69
O 0.3133 0.3133 0.6265  1 Si 1.69
O 0.3133 0.6867 0.0000  1 Si 1.69
O 0.6867 0.3133 0.0000  1 Si 1.69
O 0.6867 0.6867 0.3735  1 Si 1.69

Output
**Density**: 3608 kg/m³
**Formation energy from raw total energies**: -13.2 eV per formula unit
**M_tot**: 0.997 μB/f.u.
**Electronic total energy**: -41.36 eV per cell
**Excess energy over the best structure of this formula in the dataset**: 277 meV/atom

=====

No. 2
Density functional theory data (GGA-PBE) for an optimized crystal structure of Rb2SiO.

Cell: 8.9011 8.9011 8.9011 Å, 92.53 92.53 155.73°
With the nearest neighbours (Å) after each atom.
Sites, in units of the cell vectors:
Rb 0.3750 0.1655 0.2904  2 O 3.15, 2 Si 3.42
Rb 0.8346 0.1250 0.2096  2 O 3.15, 2 Si 3.42
Rb 0.8750 0.0846 0.7096  2 O 3.15, 2 Si 3.42
Rb 0.9154 0.6250 0.7904  2 O 3.15, 2 Si 3.42
Si 0.2500 0.7500 0.5000  2 O 1.87
Si 0.5000 0.5000 0.0000  2 O 1.87
O 0.0000 0.0000 0.0000  2 Si 1.87
O 0.7500 0.2500 0.5000  2 Si 1.87

Output
**Density**: 2519 kg/m³
**Formation energy from raw total energies**: -1.8 eV per formula unit
**M_tot**: 0.708 μB/f.u.
**Electronic total energy**: -28.20 eV per cell
**Excess energy over the best structure of this formula in the dataset**: 0 meV/atom

=====

No. 3
Density functional theory data (GGA-PBE) for an optimized crystal structure of Rb2SiO3.

Cell: 6.5356 6.5356 8.1803 Å, 122.19 122.19 55.71°
With the nearest neighbours (Å) after each atom.
Sites, in units of the cell vectors:
Rb 0.0636 0.0636 0.3406  7 O 2.89-3.09
Rb 0.3122 0.3122 0.2084  5 O 2.90-3.10
Rb 0.6878 0.6878 0.7916  5 O 2.90-3.10
Rb 0.9364 0.9364 0.6594  7 O 2.89-3.09
Si 0.3842 0.3842 0.8233  4 O 1.61-1.74
Si 0.6158 0.6158 0.1767  4 O 1.61-1.74
O 0.2293 0.2293 0.7830  1 Si 1.61
O 0.3015 0.6985 0.0000  2 Si 1.74
O 0.3843 0.3843 0.6265  1 Si 1.61
O 0.6157 0.6157 0.3735  1 Si 1.61
O 0.6985 0.3015 0.0000  2 Si 1.74
O 0.7707 0.7707 0.2170  1 Si 1.61

Output
**Density**: 3560 kg/m³
**Formation energy from raw total energies**: -13.6 eV per formula unit
**M_tot**: 0.000 μB/f.u.
**Electronic total energy**: -71.70 eV per cell

=====

No. 4
Density functional theory data (GGA-PBE) for an optimized crystal structure of Rb10Si6O17.

Cell: 13.0246 13.8022 14.0077 Å, 90.00 90.00 90.00°
With the nearest neighbours (Å) after each atom.
Sites, in units of the cell vectors:
Rb 0.0300 0.2165 0.1405  5 O 2.75-3.02
Rb 0.0300 0.2835 0.6405  5 O 2.75-3.02
Rb 0.0665 0.5112 0.2233  3 O 2.83-3.13
Rb 0.0665 0.9888 0.7233  3 O 2.83-3.13
Rb 0.1509 0.5334 0.5393  5 O 2.74-3.06
Rb 0.1509 0.9666 0.0393  5 O 2.74-3.06
Rb 0.1995 0.6252 0.7934  4 O 2.76-3.05
Rb 0.1995 0.8748 0.2934  4 O 2.76-3.05
Rb 0.2101 0.7146 0.0609  5 O 2.87-3.16
Rb 0.2101 0.7854 0.5609  5 O 2.87-3.16
Rb 0.2899 0.2146 0.0609  5 O 2.87-3.16
Rb 0.2899 0.2854 0.5609  5 O 2.87-3.16
Rb 0.3005 0.1252 0.7934  4 O 2.76-3.05
Rb 0.3005 0.3748 0.2934  4 O 2.76-3.05
Rb 0.3491 0.0334 0.5393  5 O 2.74-3.06
Rb 0.3491 0.4666 0.0393  5 O 2.74-3.06
Rb 0.4335 0.0112 0.2233  3 O 2.83-3.13
Rb 0.4335 0.4888 0.7233  3 O 2.83-3.13
Rb 0.4700 0.7165 0.1405  5 O 2.75-3.02
Rb 0.4700 0.7835 0.6405  5 O 2.75-3.02
Rb 0.5300 0.2165 0.3595  5 O 2.75-3.02
Rb 0.5300 0.2835 0.8595  5 O 2.75-3.02
Rb 0.5665 0.5112 0.2767  3 O 2.83-3.13
Rb 0.5665 0.9888 0.7767  3 O 2.83-3.13
Rb 0.6509 0.5334 0.9607  5 O 2.74-3.06
Rb 0.6509 0.9666 0.4607  5 O 2.74-3.06
Rb 0.6995 0.6252 0.7066  4 O 2.76-3.05
Rb 0.6995 0.8748 0.2066  4 O 2.76-3.05
Rb 0.7101 0.7146 0.4391  5 O 2.87-3.16
Rb 0.7101 0.7854 0.9391  5 O 2.87-3.16
Rb 0.7899 0.2146 0.4391  5 O 2.87-3.16
Rb 0.7899 0.2854 0.9391  5 O 2.87-3.16
Rb 0.8005 0.1252 0.7066  4 O 2.76-3.05
Rb 0.8005 0.3748 0.2066  4 O 2.76-3.05
Rb 0.8491 0.0334 0.9607  5 O 2.74-3.06
Rb 0.8491 0.4666 0.4607  5 O 2.74-3.06
Rb 0.9335 0.0112 0.2767  3 O 2.83-3.13
Rb 0.9335 0.4888 0.7767  3 O 2.83-3.13
Rb 0.9700 0.7165 0.3595  5 O 2.75-3.02
Rb 0.9700 0.7835 0.8595  5 O 2.75-3.02
Si 0.0560 0.2165 0.8865  4 O 1.61-1.73
Si 0.0560 0.2835 0.3865  4 O 1.61-1.73
Si 0.0820 0.0904 0.4861  4 O 1.60-1.67
Si 0.0820 0.4096 0.9861  4 O 1.60-1.67
Si 0.2179 0.1313 0.3164  4 O 1.61-1.72
Si 0.2179 0.3687 0.8164  4 O 1.61-1.72
Si 0.2821 0.6313 0.3164  4 O 1.61-1.72
Si 0.2821 0.8687 0.8164  4 O 1.61-1.72
Si 0.4180 0.5904 0.4861  4 O 1.60-1.67
Si 0.4180 0.9096 0.9861  4 O 1.60-1.67
Si 0.4440 0.7165 0.8865  4 O 1.61-1.73
Si 0.4440 0.7835 0.3865  4 O 1.61-1.73
Si 0.5560 0.2165 0.6135  4 O 1.61-1.73
Si 0.5560 0.2835 0.1135  4 O 1.61-1.73
Si 0.5820 0.0904 0.0139  4 O 1.60-1.67
Si 0.5820 0.4096 0.5139  4 O 1.60-1.67
Si 0.7179 0.1313 0.1836  4 O 1.61-1.72
Si 0.7179 0.3687 0.6836  4 O 1.61-1.72
Si 0.7821 0.6313 0.1836  4 O 1.61-1.72
Si 0.7821 0.8687 0.6836  4 O 1.61-1.72
Si 0.9180 0.5904 0.0139  4 O 1.60-1.67
Si 0.9180 0.9096 0.5139  4 O 1.60-1.67
Si 0.9440 0.7165 0.6135  4 O 1.61-1.73
Si 0.9440 0.7835 0.1135  4 O 1.61-1.73
O 0.0000 0.0000 0.5000  2 Si 1.65
O 0.0000 0.5000 0.0000  2 Si 1.65
O 0.0111 0.1844 0.4491  2 Si 1.67-1.73
O 0.0111 0.3156 0.9491  2 Si 1.67-1.73
O 0.0384 0.6722 0.6740  1 Si 1.61
O 0.0384 0.8278 0.1740  1 Si 1.61
O 0.1149 0.1434 0.9576  1 Si 1.61
O 0.1149 0.3566 0.4576  1 Si 1.61
O 0.1418 0.2310 0.3116  2 Si 1.70
O 0.1418 0.2690 0.8116  2 Si 1.70
O 0.1456 0.1132 0.5810  1 Si 1.60
O 0.1456 0.3868 0.0810  1 Si 1.60
O 0.1527 0.0563 0.3931  2 Si 1.66-1.72
O 0.1527 0.4437 0.8931  2 Si 1.66-1.72
O 0.1722 0.6583 0.3625  1 Si 1.61
O 0.1722 0.8417 0.8625  1 Si 1.61
O 0.2171 0.0797 0.2129  1 Si 1.62
O 0.2171 0.4203 0.7129  1 Si 1.62
O 0.2829 0.5797 0.2129  1 Si 1.62
O 0.2829 0.9203 0.7129  1 Si 1.62
O 0.3278 0.1583 0.3625  1 Si 1.61
O 0.3278 0.3417 0.8625  1 Si 1.61
O 0.3473 0.5563 0.3931  2 Si 1.66-1.72
O 0.3473 0.9437 0.8931  2 Si 1.66-1.72
O 0.3544 0.6132 0.5810  1 Si 1.60
O 0.3544 0.8868 0.0810  1 Si 1.60
O 0.3582 0.7310 0.3116  2 Si 1.70
O 0.3582 0.7690 0.8116  2 Si 1.70
O 0.3851 0.6434 0.9576  1 Si 1.61
O 0.3851 0.8566 0.4576  1 Si 1.61
O 0.4616 0.1722 0.6740  1 Si 1.61
O 0.4616 0.3278 0.1740  1 Si 1.61
O 0.4889 0.6844 0.4491  2 Si 1.67-1.73
O 0.4889 0.8156 0.9491  2 Si 1.67-1.73
O 0.5000 0.0000 0.0000  2 Si 1.65
O 0.5000 0.5000 0.5000  2 Si 1.65
O 0.5111 0.1844 0.0509  2 Si 1.67-1.73
O 0.5111 0.3156 0.5509  2 Si 1.67-1.73
O 0.5384 0.6722 0.8260  1 Si 1.61
O 0.5384 0.8278 0.3260  1 Si 1.61
O 0.6149 0.1434 0.5424  1 Si 1.61
O 0.6149 0.3566 0.0424  1 Si 1.61
O 0.6418 0.2310 0.1884  2 Si 1.70
O 0.6418 0.2690 0.6884  2 Si 1.70
O 0.6456 0.1132 0.9190  1 Si 1.60
O 0.6456 0.3868 0.4190  1 Si 1.60
O 0.6527 0.0563 0.1069  2 Si 1.66-1.72
O 0.6527 0.4437 0.6069  2 Si 1.66-1.72
O 0.6722 0.6583 0.1375  1 Si 1.61
O 0.6722 0.8417 0.6375  1 Si 1.61
O 0.7171 0.0797 0.2871  1 Si 1.62
O 0.7171 0.4203 0.7871  1 Si 1.62
O 0.7829 0.5797 0.2871  1 Si 1.62
O 0.7829 0.9203 0.7871  1 Si 1.62
O 0.8278 0.1583 0.1375  1 Si 1.61
O 0.8278 0.3417 0.6375  1 Si 1.61
O 0.8473 0.5563 0.1069  2 Si 1.66-1.72
O 0.8473 0.9437 0.6069  2 Si 1.66-1.72
O 0.8544 0.6132 0.9190  1 Si 1.60
O 0.8544 0.8868 0.4190  1 Si 1.60
O 0.8582 0.7310 0.1884  2 Si 1.70
O 0.8582 0.7690 0.6884  2 Si 1.70
O 0.8851 0.6434 0.5424  1 Si 1.61
O 0.8851 0.8566 0.0424  1 Si 1.61
O 0.9616 0.1722 0.8260  1 Si 1.61
O 0.9616 0.3278 0.3260  1 Si 1.61
O 0.9889 0.6844 0.0509  2 Si 1.67-1.73
O 0.9889 0.8156 0.5509  2 Si 1.67-1.73

Output
**Density**: 3416 kg/m³
**Formation energy from raw total energies**: -77.5 eV per formula unit
**M_tot**: 0.001 μB/f.u.
**Electronic total energy**: -815.83 eV per cell

=====

No. 5
Density functional theory data (GGA-PBE) for an optimized crystal structure of Rb2SiO.

Cell: 5.5910 5.5910 5.5910 Å, 60.00 60.00 60.00°
With the nearest neighbours (Å) after each atom.
Sites, in units of the cell vectors:
Rb 0.2500 0.2500 0.2500  4 O 3.42, 4 Si 3.42
Rb 0.7500 0.7500 0.7500  4 O 3.42, 4 Si 3.42
Si 0.0000 0.0000 0.0000  8 Rb 3.42
O 0.5000 0.5000 0.5000  8 Rb 3.42

Output
**Density**: 2889 kg/m³
**Formation energy from raw total energies**: 1.6 eV per formula unit
**M_tot**: 2.000 μB/f.u.
**Electronic total energy**: -10.74 eV per cell
**Excess energy over the best structure of this formula in the dataset**: 840 meV/atom

=====

No. 6
Density functional theory data (GGA-PBE) for an optimized crystal structure of RbSiO3.

Cell: 4.2471 4.2471 4.2471 Å, 90.00 90.00 90.00°
With the nearest neighbours (Å) after each atom.
Sites, in units of the cell vectors:
Rb 0.0000 0.0000 0.0000  6 O 2.12
Si 0.5000 0.5000 0.5000  12 O 3.00
O 0.0000 0.0000 0.5000  2 Rb 2.12
O 0.0000 0.5000 0.0000  2 Rb 2.12
O 0.5000 0.0000 0.0000  2 Rb 2.12

Output
**Density**: 3502 kg/m³
**Formation energy from raw total energies**: 6.0 eV per formula unit
**M_tot**: 0.000 μB/f.u.
**Electronic total energy**: -15.30 eV per cell